[1]
A plane-wave DFT calculation with GGA-PBEsol was carried out for an optimized crystal structure of CdTc.

The structure in extended XYZ format:
```
4
Lattice="0.0000 3.1899 3.1899 3.1899 0.0000 3.1899 3.1899 3.1899 0.0000" Properties=species:S:1:pos:R:3 pbc="T T T"
Cd 0.7975 0.7975 0.7975
Cd 5.5823 5.5823 5.5823
Tc 2.3924 2.3924 2.3924
Tc 3.9874 3.9874 3.9874
```

E above lowest polymorph   4.25 kcal/mol of atoms
SG   Fd-3m (227)

---

[2]
A plane-wave DFT calculation with GGA-PBEsol was carried out for an optimized crystal structure of LaAl2Ge2.

The structure in extended XYZ format:
```
5
Lattice="4.2708 0.0000 0.0000 -2.1354 3.6986 0.0000 0.0000 0.0000 6.9423" Properties=species:S:1:pos:R:3 pbc="T T T"
La 0.0000 0.0000 0.0000
Al 0.0000 2.4657 4.4326
Al 2.1354 1.2329 2.5096
Ge 0.0000 2.4657 1.8660
Ge 2.1354 1.2329 5.0763
```

SG   P-3m1 (164)

---

Across the entries above, calculated formation energy takes the values 0.497, -0.492 eV per atom, respectively.
Across the entries above, electronic total energy takes the values -11.469, -25.869 eV/f.u., respectively.